DFT (PBE) results for a geometry-optimized PmB2Ir structure.

## Properties
- relative energy among the computed polymorphs (meV/atom) = 0
- calculated total energy (eV per atom) = -7.200
- D(E_F) (states/eV/f.u.) = 2.12
- crystal system = orthorhombic

abc: 6.5621 5.9875 6.1252
angles: 90.00 90.00 90.00
Closest atoms and distances in Å follow each position.
Space group Pnma (No. 62)
Unique sites:
1 Pm 0.1606 0.2500 0.1452  4 Ir 2.91-3.13, 8 B 2.92-2.99
2 B 0.0294 0.1070 0.5815  2 B 1.67-1.71
3 Ir 0.1738 0.7500 0.1664  4 B 2.19-2.21


DFT (PBE) results for a geometry-optimized PmB4Ir12 structure.

## Properties
- calculated total energy (eV per atom) = -7.941
- D(E_F) (states/eV/f.u.) = 28.64
- crystal system = cubic

abc: 7.8502 7.8502 7.8502
angles: 90.00 90.00 90.00
Closest atoms and distances in Å follow each position.
Space group Im-3 (No. 204)
Unique sites:
1 Pm 0.0000 0.0000 0.0000  12 Ir 2.89
2 B 0.2500 0.2500 0.2500  6 Ir 2.14
3 Ir 0.0000 0.3257 0.1707  2 B 2.14


DFT (PBE) results for a geometry-optimized Pm3B8Ir3 structure.

## Properties
- calculated total energy (eV per atom) = -6.894
- D(E_F) (states/eV/f.u.) = 5.83
- crystal system = orthorhombic

abc: 3.4884 9.5481 10.6115
angles: 90.00 90.00 90.00
Closest atoms and distances in Å follow each position.
Space group Immm (No. 71)
Unique sites:
1 Pm 0.0000 0.0000 0.0000  4 Ir 3.07, 2 Pm 3.07, 12 B 3.14-3.39
2 Pm 0.0000 0.0000 0.2896  10 B 2.76-2.82, 2 Ir 2.83, 1 Pm 3.07
3 B 0.0000 0.2912 0.1375  1 B 1.74
4 B 0.0000 0.2907 0.3014  1 B 1.74
5 Ir 0.0000 0.2351 0.5000  6 B 2.17-2.29
6 Ir 0.0000 0.5000 0.0000  4 B 2.47


DFT (PBE) results for a geometry-optimized Pm3B7Ir structure.

## Properties
- calculated total energy (eV per atom) = -6.818
- D(E_F) (states/eV/f.u.) = 2.40
- crystal system = orthorhombic

abc: 3.5663 16.2004 9.6032
angles: 90.00 90.00 90.00
Closest atoms and distances in Å follow each position.
Space group Cmcm (No. 63)
Unique sites:
1 Pm 0.0000 0.1054 0.0619  11 B 2.71-2.81
2 Pm 0.0000 0.2466 0.7500  10 B 2.73-2.76
3 B 0.0000 0.2732 0.0327  3 B 1.91-2.03
4 B 0.0000 0.3670 0.1522  3 B 1.84-1.91
5 B 0.0000 0.4629 0.7500  2 B 1.75
6 B 0.0000 0.4765 0.0993  2 B 1.75-1.84
7 Ir 0.0000 0.0562 0.7500  10 B 2.34-2.37


DFT (PBE) results for a geometry-optimized PmB4Ir6 structure.

## Properties
- calculated total energy (eV per atom) = -7.844
- D(E_F) (states/eV/f.u.) = 6.59
- crystal system = monoclinic

abc: 7.8788 7.8797 6.1502
angles: 90.00 129.74 90.00
Closest atoms and distances in Å follow each position.
Space group Cm (No. 8)
Unique sites:
1 Pm 0.0000 0.0000 0.0000  4 B 2.69-2.70, 4 Ir 2.78-2.79
2 B 0.2940 0.5000 0.2197  5 Ir 2.11-2.29
3 B 0.3886 0.1847 0.7787  5 Ir 2.11-2.30
4 B 0.4258 0.0000 0.2222  5 Ir 2.11-2.29
5 Ir 0.1246 0.0000 0.5984  3 B 2.11-2.17
6 Ir 0.1996 0.3264 0.3999  3 B 2.11-2.17
7 Ir 0.2500 0.2498 0.9999  4 B 2.28-2.30
8 Ir 0.4732 0.0000 0.6014  3 B 2.11-2.16


DFT (PBE) results for a geometry-optimized Pm2B4Ir5 structure.

## Properties
- calculated total energy (eV per atom) = -8.030
- D(E_F) (states/eV/f.u.) = 3.43
- crystal system = orthorhombic

abc: 5.5454 9.9767 11.4050
angles: 90.00 90.00 90.00
Closest atoms and distances in Å follow each position.
Space group Fmmm (No. 69)
Unique sites:
1 Pm 0.0000 0.0000 0.1418  6 B 3.02-3.19, 10 Ir 3.11-3.28, 1 Pm 3.23
2 B 0.0000 0.1580 0.3681  5 Ir 2.14-2.24
3 Ir 0.0000 0.0000 0.5000  4 B 2.18
4 Ir 0.2500 0.2500 0.0000  4 B 2.24
5 Ir 0.2500 0.2500 0.2500  4 B 2.14


DFT (PBE) results for a geometry-optimized PmB2Ir3 structure.

## Properties
- calculated total energy (eV per atom) = -7.774
- D(E_F) (states/eV/f.u.) = 3.99
- crystal system = hexagonal

abc: 8.9853 8.9853 3.6319
angles: 90.00 90.00 120.00
Closest atoms and distances in Å follow each position.
Space group P6/mmm (No. 191)
Unique sites:
1 Pm 0.0000 0.0000 0.0000  6 B 2.92, 12 Ir 3.12
2 Pm 0.3333 0.6667 0.5000  6 B 2.90, 12 Ir 3.17-3.25
3 B 0.1879 0.3758 0.0000  6 Ir 2.33-2.45
4 Ir 0.0000 0.2827 0.5000  4 B 2.33, 2 Ir 2.54
5 Ir 0.0000 0.5000 0.0000  4 B 2.45, 4 Ir 2.67


DFT (PBE) results for a geometry-optimized PmB3Ir3 structure.

## Properties
- relative energy among the computed polymorphs (meV/atom) = 26
- calculated total energy (eV per atom) = -7.717
- D(E_F) (states/eV/f.u.) = 3.11
- crystal system = monoclinic

abc: 7.3885 6.7360 8.1870
angles: 90.00 102.29 90.00
Closest atoms and distances in Å follow each position.
Space group P2_1 (No. 4)
Unique sites:
1 Pm 0.0100 0.0000 0.1006  3 B 2.64-2.90
2 Pm 0.4253 0.5945 0.3119  5 B 2.91-3.17, 4 Ir 3.08-3.21
3 B 0.0632 0.5685 0.5342  1 B 1.93
4 B 0.1065 0.7713 0.7039  1 B 1.93, 2 Ir 2.09-2.14
5 B 0.2184 0.2766 0.6922  4 Ir 2.06-2.12
6 B 0.3528 0.0366 0.3483  1 B 1.72
7 B 0.3739 0.0200 0.1437  2 B 1.72-1.83
8 B 0.4284 0.5485 0.9572  1 B 1.83
9 Ir 0.0274 0.0720 0.7384  3 B 2.06-2.19
10 Ir 0.1738 0.8641 0.4715  4 B 2.16-2.25
11 Ir 0.1790 0.2639 0.4334  4 B 2.08-2.28
12 Ir 0.3112 0.8364 0.9164  3 B 2.09-2.20
13 Ir 0.3362 0.2506 0.9466  4 B 2.09-2.22
14 Ir 0.3523 0.5531 0.6811  5 B 2.12-2.25


DFT (PBE) results for a geometry-optimized PmB3Ir3 structure.

## Properties
- relative energy among the computed polymorphs (meV/atom) = 78
- calculated total energy (eV per atom) = -7.665
- D(E_F) (states/eV/f.u.) = 3.92
- crystal system = hexagonal

abc: 7.7852 7.7852 3.6628
angles: 90.00 90.00 120.00
Closest atoms and distances in Å follow each position.
Space group P6_3/m (No. 176)
Unique sites:
1 Pm 0.3333 0.6667 0.2500  9 B 2.70-2.74, 6 Ir 3.02
2 B 0.0518 0.4327 0.7500  4 Ir 2.17-2.30
3 Ir 0.0652 0.7346 0.7500  4 B 2.17-2.30


DFT (PBE) results for a geometry-optimized Pm2B6Ir9 structure.

## Properties
- calculated total energy (eV per atom) = -8.176
- D(E_F) (states/eV/f.u.) = 2.92
- crystal system = hexagonal

abc: 5.6902 5.6902 8.6438
angles: 90.00 90.00 120.00
Closest atoms and distances in Å follow each position.
Space group P6/mmm (No. 191)
Unique sites:
1 Pm 0.0000 0.0000 0.2034  12 Ir 3.07-3.34, 6 B 3.30
2 B 0.3333 0.6667 0.1674  6 Ir 2.19-2.20
3 B 0.3333 0.6667 0.5000  6 Ir 2.17
4 Ir 0.0000 0.5000 0.0000  4 B 2.19
5 Ir 0.0000 0.5000 0.3366  4 B 2.17-2.20


DFT (PBE) results for a geometry-optimized PmB4Ir structure.

## Properties
- calculated total energy (eV per atom) = -7.250
- D(E_F) (states/eV/f.u.) = 1.06
- crystal system = orthorhombic

abc: 6.0530 11.7415 3.6327
angles: 90.00 90.00 90.00
Closest atoms and distances in Å follow each position.
Space group Pbam (No. 55)
Unique sites:
1 Pm 0.1300 0.1487 0.0000  14 B 2.69-2.82, 1 Ir 3.00
2 B 0.0246 0.6904 0.5000  3 B 1.78-1.89
3 B 0.1107 0.5456 0.5000  3 B 1.72-1.78
4 B 0.1394 0.9685 0.5000  3 B 1.76-1.87
5 B 0.2132 0.8134 0.5000  3 B 1.84-1.89
6 Ir 0.1423 0.4042 0.0000  10 B 2.28-2.47


DFT (PBE) results for a geometry-optimized PmBIr2 structure.

## Properties
- relative energy among the computed polymorphs (meV/atom) = 287
- calculated total energy (eV per atom) = -7.475
- D(E_F) (states/eV/f.u.) = 3.64
- crystal system = trigonal

abc: 3.8540 3.8540 16.2668
angles: 90.00 90.00 120.00
Closest atoms and distances in Å follow each position.
Space group R-3m (No. 166, hexagonal axes)
Unique sites:
1 Pm 0.0000 0.0000 0.0000  8 Ir 3.03-3.37
2 B 0.0000 0.0000 0.5000  6 Ir 2.32
3 Ir 0.0000 0.0000 0.2071  3 B 2.32, 3 Ir 2.59


DFT (PBE) results for a geometry-optimized Pm3BIr3 structure.

## Properties
- calculated total energy (eV per atom) = -7.129
- D(E_F) (states/eV/f.u.) = 2.48
- crystal system = hexagonal

abc: 8.3650 8.3650 5.7079
angles: 90.00 90.00 120.00
Closest atoms and distances in Å follow each position.
Space group P6_3/m (No. 176)
Unique sites:
1 Pm 0.0715 0.7164 0.2500  5 Ir 2.85-3.08
2 B 0.3333 0.6667 0.7500  3 Ir 2.01
3 Ir 0.1022 0.6843 0.7500  1 B 2.01


DFT (PBE) results for a geometry-optimized PmBIr2 structure.

## Properties
- relative energy among the computed polymorphs (meV/atom) = 519
- calculated total energy (eV per atom) = -7.243
- D(E_F) (states/eV/f.u.) = 2.11
- crystal system = tetragonal

abc: 2.8965 2.8965 7.2138
angles: 90.00 90.00 90.00
Closest atoms and distances in Å follow each position.
Space group P4/mmm (No. 123)
Unique sites:
1 Pm 0.0000 0.0000 0.0000  4 Pm 2.90, 8 Ir 3.08
2 B 0.0000 0.0000 0.5000  8 Ir 2.43
3 Ir 0.5000 0.5000 0.3192  4 B 2.43, 1 Ir 2.61


DFT (PBE) results for a geometry-optimized Pm2B2Ir structure.

## Properties
- calculated total energy (eV per atom) = -6.753
- D(E_F) (states/eV/f.u.) = 2.11
- crystal system = orthorhombic

abc: 3.2089 14.6747 3.6971
angles: 90.00 90.00 90.00
Closest atoms and distances in Å follow each position.
Space group Cmmm (No. 65)
Unique sites:
1 Pm 0.0000 0.1234 0.0000  6 B 2.76-2.96, 4 Ir 3.05
2 B 0.0000 0.2631 0.5000  2 B 1.65
3 Ir 0.0000 0.5000 0.5000  8 Pm 3.05, 2 Ir 3.21


DFT (PBE) results for a geometry-optimized PmB6Ir6 structure.

## Properties
- calculated total energy (eV per atom) = -7.216
- D(E_F) (states/eV/f.u.) = 7.19
- crystal system = orthorhombic

abc: 4.8732 7.6089 8.1781
angles: 90.00 90.00 90.00
Closest atoms and distances in Å follow each position.
Space group Immm (No. 71)
Unique sites:
1 Pm 0.0000 0.0000 0.0000  4 Ir 2.53-2.80
2 B 0.0000 0.2646 0.5000  6 Ir 2.36-2.55, 4 B 2.38
3 B 0.2500 0.2500 0.2500  6 Ir 2.32-2.46, 4 B 2.38-2.44
4 Ir 0.0000 0.0000 0.3420  6 B 2.38-2.39, 1 Ir 2.58
5 Ir 0.0000 0.3331 0.0000  6 B 2.46-2.55, 1 Pm 2.53, 1 Ir 2.54
6 Ir 0.0000 0.5000 0.3120  6 B 2.32-2.36


DFT (PBE) results for a geometry-optimized PmB6Ir2 structure.

## Properties
- calculated total energy (eV per atom) = -7.280
- D(E_F) (states/eV/f.u.) = 2.11
- crystal system = orthorhombic

abc: 3.4268 6.4346 8.5901
angles: 90.00 90.00 90.00
Closest atoms and distances in Å follow each position.
Space group Immm (No. 71)
Unique sites:
1 Pm 0.0000 0.0000 0.0000  16 B 2.83-3.07
2 B 0.0000 0.1505 0.5000  2 B 1.70
3 B 0.0000 0.2341 0.3119  1 B 1.70
4 Ir 0.0000 0.5000 0.1668  6 B 2.12-2.29


DFT (PBE) results for a geometry-optimized Pm2B4Ir3 structure.

## Properties
- calculated total energy (eV per atom) = -7.169
- D(E_F) (states/eV/f.u.) = 4.37
- crystal system = orthorhombic

abc: 5.5714 9.4924 9.8267
angles: 90.00 90.00 90.00
Closest atoms and distances in Å follow each position.
Space group Fmmm (No. 69)
Unique sites:
1 Pm 0.0000 0.0000 0.1545  4 B 2.69-2.71
2 B 0.0000 0.2170 0.3339  1 B 1.76
3 Ir 0.0000 0.0000 0.5000  4 B 2.63, 4 Ir 2.75
4 Ir 0.2500 0.2500 0.0000  4 B 2.17


DFT (PBE) results for a geometry-optimized PmB2IrRh structure.

## Properties
- calculated total energy (eV per atom) = -7.521
- D(E_F) (states/eV/f.u.) = 1.27
- crystal system = tetragonal

abc: 3.8678 3.8678 9.8940
angles: 90.00 90.00 90.00
Closest atoms and distances in Å follow each position.
Space group I-4m2 (No. 119)
Unique sites:
1 Pm 0.0000 0.0000 0.0000  10 B 3.13-3.43, 4 Rh 3.14, 4 Ir 3.14
2 B 0.0000 0.0000 0.3470  2 Ir 2.16, 2 Rh 2.16
3 Ir 0.0000 0.5000 0.2500  4 B 2.16
4 Rh 0.0000 0.5000 0.7500  4 B 2.16


DFT (PBE) results for a geometry-optimized PmBIrRh2 structure.

## Properties
- calculated total energy (eV per atom) = -7.674
- D(E_F) (states/eV/f.u.) = 4.30
- crystal system = tetragonal

abc: 4.2748 4.2748 4.2228
angles: 90.00 90.00 90.00
Closest atoms and distances in Å follow each position.
Space group P4/mmm (No. 123)
Unique sites:
1 Pm 0.0000 0.0000 0.0000  8 Rh 3.00, 4 Ir 3.02
2 B 0.5000 0.5000 0.5000  2 Ir 2.11, 4 Rh 2.14
3 Ir 0.5000 0.5000 0.0000  2 B 2.11
4 Rh 0.0000 0.5000 0.5000  2 B 2.14